No. 1
Entry from Alexandria: a relaxed Tb6CdFe crystal (GGA-PBE).

Cell and atoms, written as CIF:
```
data_Tb6CdFe
_chemical_formula_sum 'Tb12 Cd2 Fe2'
_cell_length_a 7.856
_cell_length_b 10.160
_cell_length_c 6.210
_cell_angle_alpha 90.00
_cell_angle_beta 105.39
_cell_angle_gamma 90.00
_symmetry_space_group_name_H-M 'C 1 2/m 1'
_symmetry_Int_Tables_number 12
_symmetry_space_group_name_Hall '-C 2y'
loop_
_atom_site_label
_atom_site_type_symbol
_atom_site_fract_x
_atom_site_fract_y
_atom_site_fract_z
_atom_site_occupancy
Tb1 Tb 0.120 0.183 0.282 1
Tb2 Tb 0.224 0.500 0.135 1
Cd1 Cd 0.000 0.500 0.500 1
Fe1 Fe 0.000 0.000 0.000 1
```

No. 2
Entry from Alexandria: a relaxed CdFeTc2 crystal (GGA-PBE).

Cell and atoms, written as CIF:
```
data_CdFeTc2
_chemical_formula_sum 'Cd2 Fe2 Tc4'
_cell_length_a 3.092
_cell_length_b 4.441
_cell_length_c 8.969
_cell_angle_alpha 90.00
_cell_angle_beta 90.00
_cell_angle_gamma 90.00
_symmetry_space_group_name_H-M 'C m m 2'
_symmetry_Int_Tables_number 35
_symmetry_space_group_name_Hall 'C 2 -2'
loop_
_atom_site_label
_atom_site_type_symbol
_atom_site_fract_x
_atom_site_fract_y
_atom_site_fract_z
_atom_site_occupancy
Cd1 Cd 0.000 0.000 0.000 1
Fe1 Fe 0.000 0.500 0.739 1
Tc1 Tc 0.000 0.000 0.516 1
Tc2 Tc 0.000 0.500 0.280 1
```

No. 3
# Cd3FeTc GGA-PBE relaxed
data_Cd3FeTc
_chemical_formula_sum 'Cd3 Fe1 Tc1'
_cell_length_a 4.877
_cell_length_b 4.877
_cell_length_c 4.877
_cell_angle_alpha 90.00
_cell_angle_beta 90.00
_cell_angle_gamma 90.00
_symmetry_space_group_name_H-M 'P m -3 m'
_symmetry_Int_Tables_number 221
_symmetry_space_group_name_Hall '-P 4 2 3'
loop_
_atom_site_label
_atom_site_type_symbol
_atom_site_fract_x
_atom_site_fract_y
_atom_site_fract_z
_atom_site_occupancy
Cd1 Cd 0.000 0.000 0.500 1
Fe1 Fe 0.000 0.000 0.000 1
Tc1 Tc 0.500 0.500 0.500 1
# - energy relative to the lowest polymorph listed for this composition (eV/atom) = 0.000

No. 4
Entry from Alexandria: a relaxed CdFe4Tc crystal (GGA-PBE).

Cell and atoms, written as CIF:
```
data_CdFe4Tc
_chemical_formula_sum 'Cd4 Fe16 Tc4'
_cell_length_a 6.802
_cell_length_b 6.802
_cell_length_c 6.802
_cell_angle_alpha 90.00
_cell_angle_beta 90.00
_cell_angle_gamma 90.00
_symmetry_space_group_name_H-M 'F -4 3 m'
_symmetry_Int_Tables_number 216
_symmetry_space_group_name_Hall 'F -4 2 3'
loop_
_atom_site_label
_atom_site_type_symbol
_atom_site_fract_x
_atom_site_fract_y
_atom_site_fract_z
_atom_site_occupancy
Cd1 Cd 0.000 0.000 0.000 1
Fe1 Fe 0.124 0.124 0.624 1
Tc1 Tc 0.250 0.250 0.250 1
```

No. 5
Entry from Alexandria: a relaxed Cd4FeTc crystal (GGA-PBE).

Cell and atoms, written as CIF:
```
data_Cd4FeTc
_chemical_formula_sum 'Cd16 Fe4 Tc4'
_cell_length_a 7.741
_cell_length_b 7.741
_cell_length_c 7.741
_cell_angle_alpha 90.00
_cell_angle_beta 90.00
_cell_angle_gamma 90.00
_symmetry_space_group_name_H-M 'F -4 3 m'
_symmetry_Int_Tables_number 216
_symmetry_space_group_name_Hall 'F -4 2 3'
loop_
_atom_site_label
_atom_site_type_symbol
_atom_site_fract_x
_atom_site_fract_y
_atom_site_fract_z
_atom_site_occupancy
Cd1 Cd 0.125 0.125 0.125 1
Fe1 Fe 0.250 0.250 0.750 1
Tc1 Tc 0.000 0.000 0.500 1
```

No. 6
# Cd2FeTc2 GGA-PBE relaxed
data_Cd2FeTc2
_chemical_formula_sum 'Cd4 Fe2 Tc4'
_cell_length_a 8.037
_cell_length_b 8.037
_cell_length_c 2.854
_cell_angle_alpha 90.00
_cell_angle_beta 90.00
_cell_angle_gamma 90.00
_symmetry_space_group_name_H-M 'P 4/m b m'
_symmetry_Int_Tables_number 127
_symmetry_space_group_name_Hall '-P 4 2ab'
loop_
_atom_site_label
_atom_site_type_symbol
_atom_site_fract_x
_atom_site_fract_y
_atom_site_fract_z
_atom_site_occupancy
Cd1 Cd 0.191 0.309 0.000 1
Fe1 Fe 0.000 0.000 0.000 1
Tc1 Tc 0.101 0.601 0.500 1
# - energy relative to the lowest polymorph listed for this composition (eV/atom) = 0.096

No. 7
Entry from Alexandria: a relaxed CdFeTc2 crystal (GGA-PBE).

Cell and atoms, written as CIF:
```
data_CdFeTc2
_chemical_formula_sum 'Cd3 Fe3 Tc6'
_cell_length_a 2.7803
_cell_length_b 2.7803
_cell_length_c 27.5865
_cell_angle_alpha 90.00
_cell_angle_beta 90.00
_cell_angle_gamma 120.00
_symmetry_space_group_name_H-M 'R 3 m'
_symmetry_Int_Tables_number 160
_symmetry_space_group_name_Hall 'R 3 -2"'
loop_
_atom_site_label
_atom_site_type_symbol
_atom_site_fract_x
_atom_site_fract_y
_atom_site_fract_z
_atom_site_occupancy
Cd1 Cd 0.0000 0.0000 0.0000 1
Fe1 Fe 0.0000 0.0000 0.7531 1
Tc1 Tc 0.0000 0.0000 0.2407 1
Tc2 Tc 0.0000 0.0000 0.4989 1
```

No. 8
# CdFeTc3 GGA-PBE relaxed
data_CdFeTc3
_chemical_formula_sum 'Cd1 Fe1 Tc3'
_cell_length_a 4.445
_cell_length_b 4.445
_cell_length_c 4.445
_cell_angle_alpha 90.00
_cell_angle_beta 90.00
_cell_angle_gamma 90.00
_symmetry_space_group_name_H-M 'P m -3 m'
_symmetry_Int_Tables_number 221
_symmetry_space_group_name_Hall '-P 4 2 3'
loop_
_atom_site_label
_atom_site_type_symbol
_atom_site_fract_x
_atom_site_fract_y
_atom_site_fract_z
_atom_site_occupancy
Cd1 Cd 0.000 0.000 0.000 1
Fe1 Fe 0.500 0.500 0.500 1
Tc1 Tc 0.000 0.500 0.500 1
# - energy relative to the lowest polymorph listed for this composition (eV/atom) = 0.000

No. 9
Entry from Alexandria: a relaxed CdFeTc4 crystal (GGA-PBE).

Cell and atoms, written as CIF:
```
data_CdFeTc4
_chemical_formula_sum 'Cd4 Fe4 Tc16'
_cell_length_a 7.283
_cell_length_b 7.283
_cell_length_c 7.283
_cell_angle_alpha 90.00
_cell_angle_beta 90.00
_cell_angle_gamma 90.00
_symmetry_space_group_name_H-M 'F -4 3 m'
_symmetry_Int_Tables_number 216
_symmetry_space_group_name_Hall 'F -4 2 3'
loop_
_atom_site_label
_atom_site_type_symbol
_atom_site_fract_x
_atom_site_fract_y
_atom_site_fract_z
_atom_site_occupancy
Cd1 Cd 0.000 0.000 0.000 1
Fe1 Fe 0.250 0.250 0.750 1
Tc1 Tc 0.125 0.125 0.375 1
```

No. 10
# Cd2FeTc2 GGA-PBE relaxed
data_Cd2FeTc2
_chemical_formula_sum 'Cd4 Fe2 Tc4'
_cell_length_a 3.487
_cell_length_b 3.487
_cell_length_c 15.107
_cell_angle_alpha 90.00
_cell_angle_beta 90.00
_cell_angle_gamma 90.00
_symmetry_space_group_name_H-M 'I 4/m m m'
_symmetry_Int_Tables_number 139
_symmetry_space_group_name_Hall '-I 4 2'
loop_
_atom_site_label
_atom_site_type_symbol
_atom_site_fract_x
_atom_site_fract_y
_atom_site_fract_z
_atom_site_occupancy
Cd1 Cd 0.000 0.000 0.095 1
Fe1 Fe 0.000 0.000 0.500 1
Tc1 Tc 0.000 0.500 0.250 1
# - energy relative to the lowest polymorph listed for this composition (eV/atom) = 0.000

No. 11
Entry from Alexandria: a relaxed CdFeTc2 crystal (GGA-PBE).

Cell and atoms, written as CIF:
```
data_CdFeTc2
_chemical_formula_sum 'Cd2 Fe2 Tc4'
_cell_length_a 9.568
_cell_length_b 2.783
_cell_length_c 4.684
_cell_angle_alpha 90.00
_cell_angle_beta 104.69
_cell_angle_gamma 90.00
_symmetry_space_group_name_H-M 'C 1 2/m 1'
_symmetry_Int_Tables_number 12
_symmetry_space_group_name_Hall '-C 2y'
loop_
_atom_site_label
_atom_site_type_symbol
_atom_site_fract_x
_atom_site_fract_y
_atom_site_fract_z
_atom_site_occupancy
Cd1 Cd 0.000 0.000 0.000 1
Fe1 Fe 0.000 0.500 0.500 1
Tc1 Tc 0.229 0.000 0.723 1
```

No. 12
Entry from Alexandria: a relaxed CdFeTc2 crystal (GGA-PBE).

Cell and atoms, written as CIF:
```
data_CdFeTc2
_chemical_formula_sum 'Cd2 Fe2 Tc4'
_cell_length_a 3.945
_cell_length_b 3.945
_cell_length_c 7.744
_cell_angle_alpha 90.00
_cell_angle_beta 90.00
_cell_angle_gamma 90.00
_symmetry_space_group_name_H-M 'I -4 m 2'
_symmetry_Int_Tables_number 119
_symmetry_space_group_name_Hall 'I -4 -2'
loop_
_atom_site_label
_atom_site_type_symbol
_atom_site_fract_x
_atom_site_fract_y
_atom_site_fract_z
_atom_site_occupancy
Cd1 Cd 0.000 0.000 0.000 1
Fe1 Fe 0.000 0.500 0.750 1
Tc1 Tc 0.000 0.000 0.500 1
Tc2 Tc 0.000 0.500 0.250 1
```

no.,E_form (kJ/mol of formula units)
1,61.3
2,128.8
3,579.4
4,134.2
5,404.1
6,401.2
7,89.8
8,559.3
9,285.6
10,355.0
11,134.9
12,162.6